BeGaIO2: optimized geometry, PBE.

Cell: 3.726 3.726 5.500 Å, 90.00 90.00 90.00°
Positions (direct):
Be  0.000  0.000  0.000
Ga  0.500  0.500  0.500
I  0.000  0.000  0.500
O  0.000  0.500  0.000
O  0.500  0.000  0.000

## Properties
D(E_F): 3.98 states/eV per cell
excess energy over the best structure of this formula in the dataset: 81 meV per atom
space-group type: P4/mmm, No. 123